(1)
This record from the Alexandria database describes a relaxed Ho8FePb2 crystal. The functional is PBE-GGA.

The structure in POSCAR format:
```
Ho8FePb2
1.0
5.328 0.000 0.000
0.000 6.706 -0.430
-2.664 -3.392 8.719
Pb Fe Ho
2 1 8
Direct
0.829 0.272 0.658
0.171 0.728 0.342
0.500 0.000 0.000
0.011 0.786 0.022
0.989 0.214 0.978
0.361 0.030 0.723
0.411 0.578 0.822
0.639 0.970 0.277
0.794 0.694 0.587
0.206 0.306 0.413
0.589 0.422 0.178
```

Summary:
**Space-group type**: C2/m
**Energy of formation**: -0.16 eV/atom
**Crystal system**: monoclinic

(2)
This record from the Alexandria database describes a relaxed Ho4FePb crystal. The functional is PBE-GGA.

The structure in POSCAR format:
```
Ho4FePb
1.0
5.870 0.134 -1.213
-2.217 7.075 -2.770
0.158 -0.322 7.907
Fe Ho Pb
2 8 2
Direct
0.250 0.000 0.000
0.750 0.000 0.000
0.052 0.947 0.268
0.948 0.053 0.732
0.372 0.796 0.652
0.628 0.204 0.348
0.872 0.652 0.796
0.448 0.732 0.053
0.552 0.268 0.947
0.128 0.348 0.204
0.750 0.630 0.370
0.250 0.370 0.630
```

Summary:
**Space-group type**: C2/c
**Energy of formation**: -0.23 eV/atom
**Crystal system**: monoclinic

(3)
This record from the Alexandria database describes a relaxed Ho8FePd2 crystal. The functional is PBE-GGA.

The structure in POSCAR format:
```
Ho8FePd2
1.0
5.900 -0.073 -1.079
-2.088 6.700 -3.035
-0.225 -0.338 7.635
Ho Pd Fe
8 2 1
Direct
0.583 0.093 0.342
0.988 0.799 0.196
0.366 0.667 0.916
0.988 0.196 0.799
0.810 0.652 0.652
0.583 0.342 0.093
0.366 0.916 0.667
0.170 0.351 0.351
0.488 0.700 0.318
0.488 0.318 0.700
0.171 0.999 0.999
```

Summary:
**Space-group type**: Cm
**Energy above the lowest structure with this stoichiometry**: 0.092 eV per atom
**Energy of formation**: -0.21 eV/atom
**Crystal system**: monoclinic

(4)
This record from the Alexandria database describes a relaxed Ho6FePd2 crystal. The functional is PBE-GGA.

The structure in POSCAR format:
```
Ho6FePd2
1.0
-3.772 4.439 -2.749
-5.896 -4.071 1.518
-0.816 4.396 8.619
Ho Pd Fe
12 4 2
Direct
0.331 0.816 0.938
0.140 0.033 0.251
0.169 0.316 0.562
0.838 0.675 0.064
0.669 0.184 0.062
0.162 0.325 0.936
0.662 0.175 0.436
0.831 0.684 0.438
0.860 0.967 0.749
0.640 0.467 0.751
0.338 0.825 0.564
0.360 0.533 0.249
0.559 0.884 0.243
0.059 0.616 0.743
0.941 0.384 0.257
0.441 0.116 0.757
0.000 0.000 0.500
0.500 0.500 0.000
```

Summary:
**Space-group type**: P2_1/c
**Energy of formation**: -0.40 eV/atom
**Crystal system**: monoclinic

(5)
This record from the Alexandria database describes a relaxed Ho3FePd12 crystal. The functional is PBE-GGA.

The structure in POSCAR format:
```
Ho3FePd12
1.0
4.072 0.000 0.000
0.000 4.072 0.000
0.000 0.000 16.141
Pd Ho Fe
12 3 1
Direct
0.000 0.500 0.371
0.000 0.500 0.629
0.500 0.000 0.113
0.500 0.500 0.758
0.500 0.000 0.887
0.500 0.500 0.242
0.500 0.500 0.500
0.000 0.500 0.887
0.500 0.000 0.629
0.500 0.500 0.000
0.500 0.000 0.371
0.000 0.500 0.113
0.000 0.000 0.500
0.000 0.000 0.243
0.000 0.000 0.757
0.000 0.000 0.000
```

Summary:
**Space-group type**: P4/mmm
**Energy of formation**: -0.68 eV/atom
**Crystal system**: tetragonal

(6)
This record from the Alexandria database describes a relaxed HoFePd crystal. The functional is PBE-GGA.

The structure in POSCAR format:
```
HoFePd
1.0
4.726 0.000 0.000
-2.363 2.359 0.000
0.000 0.000 9.744
Ho Pd Fe
2 2 2
Direct
0.694 0.389 0.674
0.694 0.389 0.326
0.194 0.389 0.860
0.194 0.389 0.140
0.694 0.389 0.000
0.195 0.389 0.500
```

Summary:
**Space-group type**: Cmmm
**Energy of formation**: -0.19 eV/atom
**Crystal system**: orthorhombic

(7)
This record from the Alexandria database describes a relaxed HoFe4Pd crystal. The functional is PBE-GGA.

The structure in POSCAR format:
```
HoFe4Pd
1.0
4.993 0.000 0.000
2.496 4.324 0.000
2.496 1.441 4.077
Ho Fe Pd
1 4 1
Direct
0.000 0.000 0.000
0.625 0.125 0.625
0.125 0.625 0.625
0.625 0.625 0.125
0.625 0.625 0.625
0.250 0.250 0.250
```

Summary:
**Space-group type**: F-43m
**Energy of formation**: -0.10 eV/atom
**Crystal system**: cubic

(8)
This record from the Alexandria database describes a relaxed Ho8FePd2 crystal. The functional is PBE-GGA.

The structure in POSCAR format:
```
Ho8FePd2
1.0
5.055 0.000 0.000
0.000 6.697 0.175
-2.528 -2.661 8.076
Ho Fe Pd
8 1 2
Direct
0.201 0.310 0.402
0.410 0.567 0.820
0.590 0.433 0.180
0.338 0.033 0.676
0.799 0.690 0.598
0.970 0.205 0.940
0.030 0.795 0.060
0.662 0.967 0.324
0.500 0.000 0.000
0.812 0.287 0.625
0.188 0.713 0.375
```

Summary:
**Space-group type**: C2/m
**Energy above the lowest structure with this stoichiometry**: 0.000 eV per atom
**Energy of formation**: -0.31 eV/atom
**Crystal system**: monoclinic

(9)
This record from the Alexandria database describes a relaxed Ho4FePd crystal. The functional is PBE-GGA.

The structure in POSCAR format:
```
Ho4FePd
1.0
5.906 -0.376 -1.574
-2.653 6.822 -2.602
-0.350 -0.351 7.753
Pd Fe Ho
2 2 8
Direct
0.750 0.636 0.364
0.250 0.364 0.636
0.750 0.998 0.002
0.250 0.002 0.998
0.591 0.293 0.946
0.208 0.354 0.225
0.792 0.646 0.775
0.292 0.775 0.646
0.409 0.707 0.054
0.091 0.946 0.293
0.708 0.225 0.354
0.909 0.054 0.707
```

Summary:
**Space-group type**: C2/c
**Energy of formation**: -0.31 eV/atom
**Crystal system**: monoclinic

(10)
This record from the Alexandria database describes a relaxed Ho12FePd6 crystal. The functional is PBE-GGA.

The structure in POSCAR format:
```
Ho12FePd6
1.0
8.110 -0.007 -0.009
-1.237 8.015 -0.009
-1.237 -1.441 7.885
Pd Ho Fe
6 12 1
Direct
0.132 0.624 0.313
0.376 0.687 0.868
0.687 0.868 0.376
0.868 0.376 0.687
0.313 0.132 0.624
0.624 0.313 0.132
0.577 0.181 0.418
0.582 0.423 0.819
0.925 0.032 0.686
0.968 0.314 0.075
0.181 0.418 0.577
0.819 0.582 0.423
0.314 0.075 0.968
0.686 0.925 0.032
0.418 0.577 0.181
0.075 0.968 0.314
0.423 0.819 0.582
0.032 0.686 0.925
0.000 0.000 0.000
```

Summary:
**Space-group type**: R-3
**Energy of formation**: -0.48 eV/atom
**Crystal system**: trigonal

(11)
This record from the Alexandria database describes a relaxed Ho5Fe2Pd crystal. The functional is PBE-GGA.

The structure in POSCAR format:
```
Ho5Fe2Pd
1.0
6.467 0.000 -3.053
-1.441 6.304 -3.053
0.190 0.238 8.778
Ho Fe Pd
10 4 2
Direct
0.500 0.500 0.000
0.316 0.816 0.281
0.035 0.535 0.719
0.465 0.316 0.281
0.816 0.965 0.281
0.184 0.035 0.719
0.535 0.684 0.719
0.000 0.000 0.000
0.965 0.465 0.281
0.684 0.184 0.719
0.392 0.892 0.000
0.608 0.108 0.000
0.892 0.608 0.000
0.108 0.392 0.000
0.750 0.750 0.500
0.250 0.250 0.500
```

Summary:
**Space-group type**: I4/mcm
**Energy of formation**: -0.26 eV/atom
**Crystal system**: tetragonal

(12)
This record from the Alexandria database describes a relaxed HoFePd6 crystal. The functional is PBE-GGA.

The structure in POSCAR format:
```
HoFePd6
1.0
4.015 0.000 0.000
0.000 4.015 0.000
0.000 0.000 7.975
Fe Pd Ho
1 6 1
Direct
0.000 0.000 0.500
0.500 0.500 0.000
0.000 0.500 0.266
0.000 0.500 0.734
0.500 0.000 0.266
0.500 0.000 0.734
0.500 0.500 0.500
0.000 0.000 0.000
```

Summary:
**Space-group type**: P4/mmm
**Energy of formation**: -0.47 eV/atom
**Crystal system**: tetragonal

(13)
This record from the Alexandria database describes a relaxed PmHoFePd crystal. The functional is PBE-GGA.

The structure in POSCAR format:
```
PmHoFePd
1.0
-4.004 -2.325 -1.673
0.419 -4.454 -2.056
-1.707 -3.970 2.359
Pm Fe Ho Pd
1 1 1 1
Direct
0.000 0.000 0.000
0.250 0.250 0.250
0.500 0.500 0.500
0.750 0.750 0.750
```

Summary:
**Space-group type**: F-43m
**Energy of formation**: -0.25 eV/atom
**Crystal system**: cubic

(14)
This record from the Alexandria database describes a relaxed YHoFePd crystal. The functional is PBE-GGA.

The structure in POSCAR format:
```
YHoFePd
1.0
4.854 0.000 0.000
2.427 4.204 0.000
2.427 1.401 3.964
Pd Y Ho Fe
1 1 1 1
Direct
0.000 0.000 0.000
0.750 0.750 0.750
0.250 0.250 0.250
0.500 0.500 0.500
```

Summary:
**Space-group type**: F-43m
**Energy of formation**: -0.31 eV/atom
**Crystal system**: cubic

(15)
This record from the Alexandria database describes a relaxed PmHo3Fe8 crystal. The functional is PBE-GGA.

The structure in POSCAR format:
```
PmHo3Fe8
1.0
4.929 0.000 1.488
2.240 4.390 1.488
-0.002 -0.001 8.915
Fe Pm Ho
8 1 3
Direct
0.438 0.940 0.184
0.187 0.187 0.440
0.940 0.438 0.184
0.438 0.438 0.184
0.688 0.688 0.936
0.937 0.435 0.691
0.435 0.937 0.691
0.937 0.937 0.691
0.875 0.875 0.375
0.000 0.000 0.999
0.500 0.500 0.501
0.375 0.375 0.875
```

Summary:
**Space-group type**: R3m
**Energy of formation**: -0.06 eV/atom
**Crystal system**: trigonal

(16)
This record from the Alexandria database describes a relaxed PmHo2Fe9 crystal. The functional is PBE-GGA.

The structure in POSCAR format:
```
PmHo2Fe9
1.0
4.901 0.000 1.459
2.233 4.362 1.459
0.111 0.068 8.591
Fe Ho Pm
9 2 1
Direct
0.582 0.582 0.753
0.582 0.083 0.753
0.418 0.917 0.247
0.667 0.667 0.998
0.333 0.333 0.002
0.083 0.582 0.753
0.500 0.500 0.500
0.917 0.418 0.247
0.418 0.418 0.247
0.142 0.142 0.573
0.858 0.858 0.427
0.000 0.000 0.000
```

Summary:
**Space-group type**: R-3m
**Energy of formation**: -0.05 eV/atom
**Crystal system**: trigonal

(17)
This record from the Alexandria database describes a relaxed Pm3HoFe crystal. The functional is PBE-GGA.

The structure in POSCAR format:
```
Pm3HoFe
1.0
-0.315 -3.352 -4.171
4.900 -1.860 1.125
-2.151 -3.747 3.174
Fe Pm Ho
1 3 1
Direct
0.000 0.000 0.000
0.500 0.000 0.000
0.000 0.500 0.000
0.000 0.000 0.500
0.500 0.500 0.500
```

Summary:
**Space-group type**: Pm-3m
**Energy of formation**: 0.20 eV/atom
**Crystal system**: cubic

(18)
This record from the Alexandria database describes a relaxed PrHo2Fe crystal. The functional is PBE-GGA.

The structure in POSCAR format:
```
PrHo2Fe
1.0
3.369 0.000 0.000
0.000 3.369 0.000
0.000 0.000 9.138
Pr Ho Fe
1 2 1
Direct
0.500 0.500 0.500
0.000 0.000 0.174
0.000 0.000 0.826
0.500 0.500 0.000
```

Summary:
**Space-group type**: P4/mmm
**Energy above the lowest structure with this stoichiometry**: 0.000 eV per atom
**Energy of formation**: 0.06 eV/atom
**Crystal system**: tetragonal

(19)
This record from the Alexandria database describes a relaxed PrHoFe4 crystal. The functional is PBE-GGA.

The structure in POSCAR format:
```
PrHoFe4
1.0
-4.019 3.121 1.129
-2.091 -0.067 4.774
0.672 4.061 3.197
Fe Pr Ho
4 1 1
Direct
0.625 0.625 0.625
0.625 0.625 0.124
0.625 0.124 0.625
0.124 0.625 0.625
0.250 0.250 0.250
0.000 0.000 0.000
```

Summary:
**Space-group type**: F-43m
**Energy of formation**: 0.01 eV/atom
**Crystal system**: cubic

(20)
This record from the Alexandria database describes a relaxed PrHo2Fe crystal. The functional is PBE-GGA.

The structure in POSCAR format:
```
PrHo2Fe
1.0
3.491 0.000 0.000
1.745 3.023 0.000
1.745 1.008 10.678
Pr Fe Ho
1 1 2
Direct
0.000 0.000 0.000
0.500 0.500 0.500
0.110 0.110 0.671
0.890 0.890 0.329
```

Summary:
**Space-group type**: R-3m
**Energy above the lowest structure with this stoichiometry**: 0.236 eV per atom
**Energy of formation**: 0.30 eV/atom
**Crystal system**: trigonal

(21)
This record from the Alexandria database describes a relaxed Pr3HoFe crystal. The functional is PBE-GGA.

The structure in POSCAR format:
```
Pr3HoFe
1.0
5.421 0.000 0.000
0.000 5.421 0.000
0.000 0.000 5.421
Ho Fe Pr
1 1 3
Direct
0.500 0.500 0.500
0.000 0.000 0.000
0.500 0.000 0.000
0.000 0.000 0.500
0.000 0.500 0.000
```

Summary:
**Space-group type**: Pm-3m
**Energy of formation**: 0.23 eV/atom
**Crystal system**: cubic

(22)
This record from the Alexandria database describes a relaxed PrHo2Fe9 crystal. The functional is PBE-GGA.

The structure in POSCAR format:
```
PrHo2Fe9
1.0
-3.032 -4.109 -0.513
0.063 -3.696 3.560
-6.849 1.214 5.080
Fe Ho Pr
9 2 1
Direct
0.582 0.582 0.751
0.084 0.582 0.751
0.418 0.418 0.249
0.582 0.084 0.751
0.500 0.500 0.500
0.333 0.333 0.002
0.667 0.667 0.998
0.916 0.418 0.249
0.418 0.916 0.249
0.858 0.858 0.427
0.142 0.142 0.573
0.000 0.000 0.000
```

Summary:
**Space-group type**: R-3m
**Energy of formation**: -0.03 eV/atom
**Crystal system**: trigonal

Table of D(E_F) (states/eV/atom), in record order: 0.98, 0.88, 1.16, 0.83, 0.74, 1.35, 1.02, 1.15, 1.04, 0.89, 0.95, 0.73, 1.33, 1.12, 1.34, 1.24, 1.81, 0.79, 1.19, 1.27, 1.72, 1.31